w:
SrTe2OsI: relaxed, PBE.

Unit cell a=6.279 b=6.279 c=6.228 alpha=90.00 beta=90.00 gamma=90.00
Each line ends with the local moment (μB).
Atoms (fractional coordinates):
Sr 0.000 0.000 0.000  0.00
Te 0.000 0.500 0.000  0.49
Te 0.500 0.000 0.000  0.49
Os 0.500 0.500 0.500  3.69
I 0.000 0.000 0.500  0.15

## Properties
Crystal system   tetragonal
N(E_F)   1.945 states/eV/atom
Space group   No. 123
ρ   4.5 Mg/m³


x:
SrTe2OsI: relaxed, PBE.

Unit cell a=5.296 b=5.296 c=5.652 alpha=90.00 beta=90.00 gamma=90.00
Each line ends with the local moment (μB).
Atoms (fractional coordinates):
Os 0.000 0.000 0.000  0.20
Sr 0.500 0.500 0.500  0.00
Te 0.000 0.500 0.000  0.02
Te 0.500 0.000 0.000  0.02
I 0.000 0.000 0.500  0.00

## Properties
Crystal system   tetragonal
N(E_F)   1.297 states/eV/atom
Space group   No. 123
ρ   6.9 Mg/m³


x ends up most stable, edging out the next structure by 1334 meV per atom.


w:
TaOsI2: relaxed, PBE.

Unit cell a=4.824 b=4.824 c=4.824 alpha=60.00 beta=60.00 gamma=60.00
Atoms (fractional coordinates):
Os 0.500 0.500 0.500
I 0.250 0.250 0.250
I 0.750 0.750 0.750
Ta 0.000 0.000 0.000

## Properties
Crystal system   cubic
N(E_F)   0.734 states/eV/atom
Space group   No. 225
ρ   13.1 Mg/m³


x:
TaOsI2: relaxed, PBE.

Unit cell a=6.190 b=6.190 c=7.291 alpha=64.88 beta=64.88 gamma=90.00
Each line ends with the local moment (μB).
Atoms (fractional coordinates):
I 0.642 0.125 0.250  -0.02
I 0.375 0.358 0.750  -0.02
I 0.875 0.892 0.750  -0.01
I 0.108 0.625 0.250  -0.02
Ta 0.250 0.750 0.500  0.63
Ta 0.500 0.500 0.000  0.63
Os 0.750 0.250 0.500  -0.33
Os 0.000 0.000 0.000  -0.33

## Properties
Crystal system   tetragonal
N(E_F)   0.785 states/eV/atom
Space group   No. 122
ρ   9.3 Mg/m³


w ends up most stable, edging out the next structure by 235 meV per atom.


w:
TcOsI2: relaxed, PBE.

Unit cell a=5.961 b=5.961 c=7.269 alpha=65.79 beta=65.79 gamma=90.00
Atoms (fractional coordinates):
Os 0.000 0.000 0.000
Os 0.750 0.250 0.500
I 0.627 0.125 0.250
I 0.375 0.373 0.750
I 0.875 0.877 0.750
I 0.123 0.625 0.250
Tc 0.250 0.750 0.500
Tc 0.500 0.500 0.000

## Properties
Crystal system   tetragonal
N(E_F)   1.236 states/eV/atom
Space group   No. 122
ρ   8.6 Mg/m³


x:
TcOsI2: relaxed, PBE.

Unit cell a=4.775 b=4.775 c=4.775 alpha=60.00 beta=60.00 gamma=60.00
Atoms (fractional coordinates):
I 0.750 0.750 0.750
I 0.250 0.250 0.250
Os 0.500 0.500 0.500
Tc 0.000 0.000 0.000

## Properties
Crystal system   cubic
N(E_F)   1.274 states/eV/atom
Space group   No. 225
ρ   11.7 Mg/m³


w ends up most stable, edging out the next structure by 90 meV per atom.


w:
TcTe2OsI: relaxed, PBE.

Unit cell a=5.036 b=5.036 c=5.331 alpha=90.00 beta=90.00 gamma=90.00
Atoms (fractional coordinates):
Te 0.000 0.500 0.000
Te 0.500 0.000 0.000
I 0.000 0.000 0.500
Tc 0.000 0.000 0.000
Os 0.500 0.500 0.500

## Properties
Crystal system   tetragonal
N(E_F)   1.121 states/eV/atom
Space group   No. 123
ρ   8.2 Mg/m³


x:
TcTe2OsI: relaxed, PBE.

Unit cell a=5.185 b=5.185 c=5.529 alpha=90.00 beta=90.00 gamma=90.00
Each line ends with the local moment (μB).
Atoms (fractional coordinates):
Os 0.000 0.000 0.000  -0.56
I 0.000 0.000 0.500  0.07
Te 0.000 0.500 0.000  -0.10
Te 0.500 0.000 0.000  -0.10
Tc 0.500 0.500 0.500  3.75

## Properties
Crystal system   tetragonal
N(E_F)   0.962 states/eV/atom
Space group   No. 123
ρ   7.5 Mg/m³


x ends up most stable, edging out the next structure by 300 meV per atom.


w:
TcTeOsI2: relaxed, PBE.

Unit cell a=5.448 b=5.448 c=5.162 alpha=90.00 beta=90.00 gamma=90.00
Each line ends with the local moment (μB).
Atoms (fractional coordinates):
Tc 0.000 0.000 0.000  -1.16
Os 0.500 0.500 0.500  3.25
I 0.500 0.000 0.000  0.06
I 0.000 0.500 0.000  0.06
Te 0.000 0.000 0.500  0.08

## Properties
Crystal system   tetragonal
N(E_F)   1.172 states/eV/atom
Space group   No. 123
ρ   7.3 Mg/m³


x:
TcTeOsI2: relaxed, PBE.

Unit cell a=5.506 b=5.506 c=5.083 alpha=90.00 beta=90.00 gamma=90.00
Each line ends with the local moment (μB).
Atoms (fractional coordinates):
I 0.000 0.500 0.000  0.06
I 0.500 0.000 0.000  0.06
Te 0.000 0.000 0.500  0.00
Tc 0.500 0.500 0.500  3.88
Os 0.000 0.000 0.000  -0.20

## Properties
Crystal system   tetragonal
N(E_F)   0.892 states/eV/atom
Space group   No. 123
ρ   7.2 Mg/m³


x ends up most stable, edging out the next structure by 242 meV per atom.


w:
Te2OsI: relaxed, PBE.

Unit cell a=13.433 b=13.433 c=13.433 alpha=13.58 beta=13.58 gamma=13.58
Atoms (fractional coordinates):
I 0.500 0.500 0.500
Os 0.000 0.000 0.000
Te 0.936 0.936 0.936
Te 0.064 0.064 0.064

## Properties
Crystal system   trigonal
N(E_F)   0.751 states/eV/atom
Space group   No. 166
ρ   8.2 Mg/m³


x:
Te2OsI: relaxed, PBE.

Unit cell a=7.352 b=7.352 c=7.377 alpha=60.11 beta=60.11 gamma=90.00
Atoms (fractional coordinates):
Os 0.000 0.000 0.000
Os 0.750 0.250 0.500
I 0.250 0.750 0.500
I 0.500 0.500 0.000
Te 0.027 0.625 0.250
Te 0.875 0.973 0.750
Te 0.723 0.125 0.250
Te 0.375 0.277 0.750

## Properties
Crystal system   tetragonal
N(E_F)   0.573 states/eV/atom
Space group   No. 122
ρ   6.7 Mg/m³


x ends up most stable, edging out the next structure by 334 meV per atom.


w:
Te2OsI: relaxed, PBE.

Unit cell a=5.090 b=5.090 c=5.090 alpha=60.00 beta=60.00 gamma=60.00
Atoms (fractional coordinates):
Os 0.500 0.500 0.500
Te 0.750 0.750 0.750
Te 0.250 0.250 0.250
I 0.000 0.000 0.000

## Properties
Crystal system   cubic
N(E_F)   0.732 states/eV/atom
Space group   No. 225
ρ   10.2 Mg/m³


x:
Te2OsI: relaxed, PBE.

Unit cell a=8.834 b=8.834 c=8.834 alpha=26.91 beta=26.91 gamma=26.91
Atoms (fractional coordinates):
I 0.000 0.000 0.000
Os 0.500 0.500 0.500
Te 0.882 0.882 0.882
Te 0.118 0.118 0.118

## Properties
Crystal system   trigonal
N(E_F)   0.746 states/eV/atom
Space group   No. 166
ρ   7.6 Mg/m³


x ends up most stable, edging out the next structure by 1032 meV per atom.


w:
TeOsI2: relaxed, PBE.

Unit cell a=7.578 b=7.578 c=6.972 alpha=57.08 beta=57.08 gamma=90.00
Atoms (fractional coordinates):
Os 0.000 0.000 0.000
Os 0.750 0.250 0.500
I 0.699 0.125 0.250
I 0.051 0.625 0.250
I 0.375 0.301 0.750
I 0.875 0.949 0.750
Te 0.250 0.750 0.500
Te 0.500 0.500 0.000

## Properties
Crystal system   tetragonal
N(E_F)   0.722 states/eV/atom
Space group   No. 122
ρ   7.4 Mg/m³


x:
TeOsI2: relaxed, PBE.

Unit cell a=5.236 b=5.236 c=5.236 alpha=60.00 beta=60.00 gamma=60.00
Each line ends with the local moment (μB).
Atoms (fractional coordinates):
I 0.250 0.250 0.250  0.03
I 0.750 0.750 0.750  0.03
Os 0.500 0.500 0.500  1.84
Te 0.000 0.000 0.000  0.01

## Properties
Crystal system   cubic
N(E_F)   0.909 states/eV/atom
Space group   No. 225
ρ   9.4 Mg/m³


w ends up most stable, edging out the next structure by 548 meV per atom.